No. 1
Entry from the Alexandria database: La2CoAgPb at its PBEsol-relaxed geometry (SCAN).

Structure (CIF):
```
data_La2CoAgPb
_chemical_formula_sum 'La2 Co1 Ag1 Pb1'
_space_group_name_H-M_alt 'P 4/m m m'
_space_group_IT_number 123
_space_group_name_Hall '-P 4 2'
_cell_length_a 6.015
_cell_length_b 6.015
_cell_length_c 5.015
_cell_angle_alpha 90.00
_cell_angle_beta 90.00
_cell_angle_gamma 90.00
loop_
_atom_site_label
_atom_site_type_symbol
_atom_site_fract_x
_atom_site_fract_y
_atom_site_fract_z
La1 La 0.000 0.500 0.000
Co1 Co 0.000 0.000 0.500
Ag1 Ag 0.500 0.500 0.500
Pb1 Pb 0.500 0.500 0.000
```

Calculated values
Mass density = 5.96 g cm⁻³
Final energy = -41.5654 eV per atom
Magnetization = 1.05 μB/f.u.
ΔE_f = 567 meV/atom

=====

No. 2
Entry from the Alexandria database: Mn3BeTe at its PBEsol-relaxed geometry (SCAN).

Structure (CIF):
```
data_Mn3BeTe
_chemical_formula_sum 'Mn3 Be1 Te1'
_space_group_name_H-M_alt 'P m -3 m'
_space_group_IT_number 221
_space_group_name_Hall '-P 4 2 3'
_cell_length_a 4.197
_cell_length_b 4.197
_cell_length_c 4.197
_cell_angle_alpha 90.00
_cell_angle_beta 90.00
_cell_angle_gamma 90.00
loop_
_atom_site_label
_atom_site_type_symbol
_atom_site_fract_x
_atom_site_fract_y
_atom_site_fract_z
Mn1 Mn 0.000 0.000 0.500
Be1 Be 0.000 0.000 0.000
Te1 Te 0.500 0.500 0.500
```

Calculated values
Formation energy without anion corrections = 0.5 eV per formula unit
Mass density = 6.77 g cm⁻³
Final energy = -19.1786 eV per atom
Magnetization = 10.92 μB/f.u.

=====

No. 3
Entry from the Alexandria database: Mo3Os at its PBEsol-relaxed geometry (SCAN).

Structure (CIF):
```
data_Mo3Os
_chemical_formula_sum 'Mo6 Os2'
_space_group_name_H-M_alt 'P m -3 n'
_space_group_IT_number 223
_space_group_name_Hall '-P 4n 2 3'
_cell_length_a 4.939
_cell_length_b 4.939
_cell_length_c 4.939
_cell_angle_alpha 90.00
_cell_angle_beta 90.00
_cell_angle_gamma 90.00
loop_
_atom_site_label
_atom_site_type_symbol
_atom_site_fract_x
_atom_site_fract_y
_atom_site_fract_z
Mo1 Mo 0.000 0.250 0.500
Os1 Os 0.000 0.000 0.000
```

Calculated values
ΔE to the lowest computed polymorph = 0.000 eV/atom
Mass density = 13.18 g cm⁻³
Final energy = -44.1643 eV per atom
Magnetization = 0.00 μB/f.u.
ΔE_f = -30 meV/atom

=====

Repeat the second record exactly.
Entry from the Alexandria database: Mn3BeTe at its PBEsol-relaxed geometry (SCAN).

Structure (CIF):
```
data_Mn3BeTe
_chemical_formula_sum 'Mn3 Be1 Te1'
_space_group_name_H-M_alt 'P m -3 m'
_space_group_IT_number 221
_space_group_name_Hall '-P 4 2 3'
_cell_length_a 4.197
_cell_length_b 4.197
_cell_length_c 4.197
_cell_angle_alpha 90.00
_cell_angle_beta 90.00
_cell_angle_gamma 90.00
loop_
_atom_site_label
_atom_site_type_symbol
_atom_site_fract_x
_atom_site_fract_y
_atom_site_fract_z
Mn1 Mn 0.000 0.000 0.500
Be1 Be 0.000 0.000 0.000
Te1 Te 0.500 0.500 0.500
```

Calculated values
Formation energy without anion corrections = 0.5 eV per formula unit
Mass density = 6.77 g cm⁻³
Final energy = -19.1786 eV per atom
Magnetization = 10.92 μB/f.u.

=====

Which of these has the highest mass density? Mo3Os

=====

Look up the final energy of the second one. -19.1786 eV per atom